An optimized crystal structure of Cd2MoBr, computed with PBE.

POSCAR file:
```
Cd2MoBr
1.0
-1.539 2.437 6.819
1.539 -2.437 6.819
1.539 2.437 -6.819
Cd Mo Br
2 1 1
direct
0.000 0.000 0.000
0.639 0.139 0.500
0.176 0.676 0.500
0.326 0.326 0.000
```

Results
Energy above the lowest structure with this stoichiometry (eV per atom): 0.076
Total magnetization (μB/atom): 0.18
E_tot (eV per cell): -13.28
Fermi-level density of states (states/eV per atom): 0.3409
ΔE_f (raw) (meV/atom): 263